## Ca3LaTh2P6 (PBE-GGA)

Data for a relaxed structure of Ca3LaTh2P6.

Summary:
- Energy of formation: -1319 meV per atom
- VASP energy: -6.171 eV/atom
- Magnetic moment: 0.00 μB per cell
- Volume: 311.16 Å³/f.u.

a b c (Å): 7.318 12.676 7.139
angles (deg): 90.00 110.00 90.00
Space group C2/m (No. 12)
Symmetry-distinct sites (fractional):
Ca  0.000  0.000  0.000 x2
Ca  0.000  0.335  0.000 x4
La  0.000  0.500  0.500 x2
Th  0.000  0.167  0.500 x4
P  0.240  0.000  0.742 x4
P  0.249  0.171  0.259 x8